Entry from Alexandria: a relaxed HfZrV3 crystal (PBE).

The calculation puts the calculated formation energy at 1314 meV/atom. The energy above the lowest structure with this stoichiometry comes out at 0 meV per atom. The calculation puts the volume at 19.87 Å³/atom.

The structure belongs to space group Pm-3m (No. 221); the cell edges are 4.631, 4.631 and 4.631 Å and the angles 90.00°, 90.00° and 90.00°. The asymmetric unit holds Hf at (0.000, 0.000, 0.000), Zr at (0.500, 0.500, 0.500) and V at (0.000, 0.000, 0.500).